Entry 1:
8
Lattice="6.316 0.028 0.044 -2.469 5.813 -0.044 -2.469 -2.562 5.219" Properties=species:S:1:pos:R:3 comment="Cs3RhF4 PBE relaxed" raw_formation_energy_ev_per_atom=-2.043 mass_density_g_cm3=4.991 pbc="T T T"
F -0.838 2.327 3.702
F -2.469 -0.149 3.702
F -2.469 3.400 1.472
F 2.217 0.953 1.516
Cs 0.689 3.733 1.294
Cs 0.689 -0.454 3.925
Cs 0.000 0.000 0.000
Rh -2.469 1.626 2.587

Entry 2:
8
Lattice="-2.832 -3.923 -0.001 3.017 -2.177 -3.094 4.447 -6.195 4.912" Properties=species:S:1:pos:R:3 comment="CsRh2F PBE relaxed" raw_formation_energy_ev_per_atom=0.199 mass_density_g_cm3=6.040 relative_energy_mev_per_atom=0 pbc="T T T"
Rh 1.936 -4.380 -0.706
Rh 2.744 -9.440 1.749
Rh 0.426 -3.293 0.841
Rh 4.158 -7.477 1.751
Cs 0.000 0.000 0.000
Cs 0.854 -6.584 1.682
F 3.778 -5.711 0.136
F 0.093 -3.050 -1.547

Entry 3:
4
Lattice="0.000 3.321 3.321 3.321 0.000 3.321 3.321 3.321 0.000" Properties=species:S:1:pos:R:3 comment="CsRh2F PBE relaxed" raw_formation_energy_ev_per_atom=0.760 mass_density_g_cm3=8.109 relative_energy_mev_per_atom=561 pbc="T T T"
Rh 1.660 1.660 1.660
Rh 4.981 4.981 4.981
F 0.000 0.000 0.000
Cs 3.321 3.321 3.321

Entry 4:
10
Lattice="-5.520 2.153 1.171 -2.059 -0.508 6.804 -0.236 6.896 1.784" Properties=species:S:1:pos:R:3 comment="Cs4RhF5 PBE relaxed" raw_formation_energy_ev_per_atom=-2.063 mass_density_g_cm3=4.812 pbc="T T T"
F -1.893 1.066 4.894
F -5.993 7.503 4.880
F -3.317 4.688 7.098
F -4.569 3.881 2.676
F -2.305 0.899 0.489
Cs -6.238 5.493 7.519
Cs -3.256 6.252 4.604
Cs -4.664 2.330 5.178
Cs -1.682 3.089 2.263
Rh -0.159 0.062 0.034